(1)
Computed, not measured: a relaxed Cd2CuMo crystal at the GGA-PBE level of DFT.

CIF file:
```
data_Cd2CuMo
_cell_length_a 6.439
_cell_length_b 5.265
_cell_length_c 2.715
_cell_angle_alpha 89.85
_cell_angle_beta 65.33
_cell_angle_gamma 120.25
_symmetry_space_group_name_H-M 'P 1'
_symmetry_Int_Tables_number 1
loop_
_symmetry_equiv_pos_as_xyz
'x,y,z'
loop_
_atom_site_label
_atom_site_fract_x
_atom_site_fract_y
_atom_site_fract_z
Cd1 0.000 0.000 0.000
Cd2 0.500 0.000 0.500
Cu1 0.000 0.500 0.500
Mo1 0.500 0.500 0.000
```

- E: -3.8142 eV per atom
- Polymorph energy (0 for the lowest one): 0.50 eV/f.u.
- ρ: 9.2 g/cm3

(2)
Computed, not measured: a relaxed Cd2CuMo crystal at the GGA-PBE level of DFT.

CIF file:
```
data_Cd2CuMo
_cell_length_a 4.718
_cell_length_b 4.718
_cell_length_c 3.151
_cell_angle_alpha 90.00
_cell_angle_beta 90.00
_cell_angle_gamma 90.00
_symmetry_space_group_name_H-M 'P 1'
_symmetry_Int_Tables_number 1
loop_
_symmetry_equiv_pos_as_xyz
'x,y,z'
loop_
_atom_site_label
_atom_site_fract_x
_atom_site_fract_y
_atom_site_fract_z
Cd1 0.000 0.000 0.000
Cd2 0.500 0.500 0.000
Cu1 0.500 0.000 0.500
Mo1 0.000 0.500 0.500
```

- E: -3.6966 eV per atom
- Polymorph energy (0 for the lowest one): 0.97 eV/f.u.
- ρ: 9.1 g/cm3

(3)
Computed, not measured: a relaxed CdCuMo2 crystal at the GGA-PBE level of DFT.

CIF file:
```
data_CdCuMo2
_cell_length_a 9.640
_cell_length_b 9.640
_cell_length_c 9.640
_cell_angle_alpha 16.66
_cell_angle_beta 16.66
_cell_angle_gamma 16.66
_symmetry_space_group_name_H-M 'P 1'
_symmetry_Int_Tables_number 1
loop_
_symmetry_equiv_pos_as_xyz
'x,y,z'
loop_
_atom_site_label
_atom_site_fract_x
_atom_site_fract_y
_atom_site_fract_z
Cd1 0.250 0.250 0.250
Cu1 0.750 0.750 0.750
Mo1 0.006 0.006 0.006
Mo2 0.494 0.494 0.494
```

- E: -6.1781 eV per atom
- ρ: 9.5 g/cm3

(4)
Computed, not measured: a relaxed Cd2CuMo crystal at the GGA-PBE level of DFT.

CIF file:
```
data_Cd2CuMo
_cell_length_a 4.651
_cell_length_b 4.651
_cell_length_c 4.651
_cell_angle_alpha 60.00
_cell_angle_beta 60.00
_cell_angle_gamma 60.00
_symmetry_space_group_name_H-M 'P 1'
_symmetry_Int_Tables_number 1
loop_
_symmetry_equiv_pos_as_xyz
'x,y,z'
loop_
_atom_site_label
_atom_site_fract_x
_atom_site_fract_y
_atom_site_fract_z
Mo1 0.500 0.500 0.500
Cu1 0.000 0.000 0.000
Cd1 0.250 0.250 0.250
Cd2 0.750 0.750 0.750
```

- E: -3.6286 eV per atom
- Polymorph energy (0 for the lowest one): 1.24 eV/f.u.
- ρ: 9.0 g/cm3